A plane-wave DFT calculation with GGA-PBE was carried out for a geometry-optimized ZrCoMo4 structure.

Unit cell a=5.263 b=5.263 c=5.263 alpha=60.00 beta=60.00 gamma=60.00
Element x y z (fractional)
Co1 0.000 0.000 0.000
Mo1 0.876 0.375 0.375
Mo2 0.375 0.375 0.876
Mo3 0.375 0.876 0.375
Mo4 0.375 0.375 0.375
Zr1 0.750 0.750 0.750

energy relative to the elements	326.8	meV per atom
density	8.60	g/cm³
V	103.10	Å³/cell